# 1
# Tb2Dy3Tm

Crystalline Tb2Dy3Tm at its relaxed geometry (PBE, the Alexandria database).

DFT formation energy: 0 kJ per mole of atoms
energy above the most stable polymorph in this dataset: 0.0 meV per atom

Cell: 6.1420 6.1420 11.4229 Å, 90.00 90.00 59.99°
With the nearest neighbours (Å) after each atom.
Element x y z (fractional)
Tb1 0.0003 0.3334 0.2500  6 Dy 3.51-3.52, 3 Tm 3.54-3.55, 3 Tb 3.54-3.55
Tb2 0.9997 0.6666 0.7500  6 Dy 3.51-3.52, 3 Tm 3.54-3.55, 3 Tb 3.54-3.55
Tb3 0.3334 0.0003 0.7500  6 Dy 3.51-3.52, 3 Tm 3.54-3.55, 3 Tb 3.54-3.55
Tb4 0.6666 0.9997 0.2500  6 Dy 3.51-3.52, 3 Tm 3.54-3.55, 3 Tb 3.54-3.55
Dy1 0.0000 0.0000 0.0000  2 Tm 3.51, 4 Tb 3.51, 6 Dy 3.54-3.55
Dy2 0.0000 0.0000 0.5000  2 Tm 3.51, 4 Tb 3.51, 6 Dy 3.54-3.55
Dy3 0.3340 0.3340 0.0000  2 Tm 3.51, 4 Tb 3.51-3.52, 6 Dy 3.53-3.55
Dy4 0.3340 0.3340 0.5000  2 Tm 3.51, 4 Tb 3.51-3.52, 6 Dy 3.53-3.55
Dy5 0.6660 0.6660 0.0000  2 Tm 3.51, 4 Tb 3.51-3.52, 6 Dy 3.53-3.55
Dy6 0.6660 0.6660 0.5000  2 Tm 3.51, 4 Tb 3.51-3.52, 6 Dy 3.53-3.55
Tm1 0.3330 0.6670 0.2500  6 Dy 3.51, 6 Tb 3.54-3.55
Tm2 0.6670 0.3330 0.7500  6 Dy 3.51, 6 Tb 3.54-3.55



# 2
# BePtCl2

Crystalline BePtCl2 at its relaxed geometry (PBE, the Alexandria database).

energy above the most stable polymorph in this dataset: 462.4 meV per atom
E_form (uncorrected): 0.027 eV/atom

Cell: 4.9367 4.9367 2.9699 Å, 90.00 90.00 101.65°
With the nearest neighbours (Å) after each atom.
Element x y z (fractional)
Be1 0.0000 0.0000 0.0000  4 Cl 2.10
Pt1 0.5000 0.5000 0.0000  4 Cl 2.77, 2 Pt 2.97
Cl1 0.1947 0.8053 0.5000  2 Be 2.10
Cl2 0.8053 0.1947 0.5000  2 Be 2.10



# 3
# NaLi4Ag3F12

Crystalline NaLi4Ag3F12 at its relaxed geometry (PBE, the Alexandria database).

E_form (uncorrected): -2.020 eV/atom

Cell: 6.7140 6.7140 6.7140 Å, 109.47 109.47 109.47°
With the nearest neighbours (Å) after each atom.
Element x y z (fractional)
Na1 0.0000 0.0000 0.0000  12 F 2.74
Li1 0.0000 0.0000 0.5000  6 F 2.05
Li2 0.0000 0.5000 0.0000  6 F 2.05
Li3 0.5000 0.0000 0.0000  6 F 2.05
Li4 0.5000 0.5000 0.5000  6 F 2.05
Ag1 0.0000 0.5000 0.5000  4 F 2.08
Ag2 0.5000 0.0000 0.5000  4 F 2.08
Ag3 0.5000 0.5000 0.0000  4 F 2.08
F1 0.1215 0.8181 0.3033  2 Li 2.05, 1 Ag 2.08
F2 0.1819 0.3033 0.4852  2 Li 2.05, 1 Ag 2.08
F3 0.1819 0.6967 0.8785  2 Li 2.05, 1 Ag 2.08
F4 0.3033 0.1215 0.8181  2 Li 2.05, 1 Ag 2.08
F5 0.3033 0.4852 0.1819  2 Li 2.05, 1 Ag 2.08
F6 0.4852 0.1819 0.3033  2 Li 2.05, 1 Ag 2.08
F7 0.5148 0.8181 0.6967  2 Li 2.05, 1 Ag 2.08
F8 0.6967 0.5148 0.8181  2 Li 2.05, 1 Ag 2.08
F9 0.6967 0.8785 0.1819  2 Li 2.05, 1 Ag 2.08
F10 0.8181 0.3033 0.1215  2 Li 2.05, 1 Ag 2.08
F11 0.8181 0.6967 0.5148  2 Li 2.05, 1 Ag 2.08
F12 0.8785 0.1819 0.6967  2 Li 2.05, 1 Ag 2.08



# 4
# KAs2Cl

Crystalline KAs2Cl at its relaxed geometry (PBE, the Alexandria database).

energy above the most stable polymorph in this dataset: 252.5 meV per atom
E_form (uncorrected): -0.449 eV/atom

Cell: 3.9198 3.9198 8.6166 Å, 90.00 90.00 90.00°
With the nearest neighbours (Å) after each atom.
Element x y z (fractional)
K1 0.0000 0.0000 0.0000  4 Cl 2.77
As1 0.0000 0.5000 0.5000  4 As 2.77
As2 0.5000 0.0000 0.5000  4 As 2.77
Cl1 0.5000 0.5000 0.0000  4 K 2.77



# 5
# MgTaOs2

Crystalline MgTaOs2 at its relaxed geometry (PBE, the Alexandria database).

DFT formation energy: 29 kJ per mole of atoms

Cell: 4.4623 4.4623 4.4623 Å, 60.00 60.00 60.00°
With the nearest neighbours (Å) after each atom.
Element x y z (fractional)
Mg1 0.0000 0.0000 0.0000  4 Os 2.73, 4 Ta 2.73
Ta1 0.2500 0.2500 0.2500  4 Mg 2.73, 4 Os 2.73
Os1 0.5000 0.5000 0.5000  4 Os 2.73, 4 Ta 2.73
Os2 0.7500 0.7500 0.7500  4 Os 2.73, 4 Mg 2.73



# 6
# NbBiPt2Pb

Crystalline NbBiPt2Pb at its relaxed geometry (PBE, the Alexandria database).

DFT formation energy: 145 kJ per mole of atoms

Cell: 4.9985 4.9985 5.7479 Å, 90.00 90.00 90.00°
With the nearest neighbours (Å) after each atom.
Element x y z (fractional)
Nb1 0.0000 0.0000 0.0000  4 Pb 3.53, 8 Pt 3.81
Bi1 0.5000 0.5000 0.5000  4 Pt 2.50
Pt1 0.0000 0.5000 0.5000  2 Bi 2.50
Pt2 0.5000 0.0000 0.5000  2 Bi 2.50
Pb1 0.5000 0.5000 0.0000  2 Bi 2.87



# 7
# PPtNCl2

Crystalline PPtNCl2 at its relaxed geometry (PBE, the Alexandria database).

energy above the most stable polymorph in this dataset: 0.0 meV per atom
E_form (uncorrected): 1.352 eV/atom

Cell: 4.1362 4.1362 4.4867 Å, 90.00 90.00 90.00°
With the nearest neighbours (Å) after each atom.
Element x y z (fractional)
P1 0.0000 0.0000 0.0000  2 N 2.24
Pt1 0.5000 0.5000 0.0000  4 P 2.92, 8 Cl 3.05
N1 0.0000 0.0000 0.5000  4 Cl 2.07, 2 P 2.24
Cl1 0.0000 0.5000 0.5000  2 N 2.07
Cl2 0.5000 0.0000 0.5000  2 N 2.07



# 8
# ScGa2S

Crystalline ScGa2S at its relaxed geometry (PBE, the Alexandria database).

E_form (uncorrected): -0.382 eV/atom

Cell: 6.0488 6.0488 6.0488 Å, 100.78 100.78 128.74°
With the nearest neighbours (Å) after each atom.
Element x y z (fractional)
Sc1 0.0000 0.0000 0.0000  2 S 2.62
Sc2 0.7500 0.2500 0.5000  2 S 2.62
Ga1 0.1501 0.6250 0.0251  2 Ga 2.65, 2 S 2.67, 2 Sc 2.94
Ga2 0.3750 0.4001 0.5251  2 Ga 2.65, 2 S 2.67, 2 Sc 2.94
Ga3 0.5999 0.1250 0.9749  2 Ga 2.65, 2 S 2.67, 2 Sc 2.94
Ga4 0.8750 0.8499 0.4749  2 Ga 2.65, 2 S 2.67, 2 Sc 2.94
S1 0.2500 0.7500 0.5000  2 Sc 2.62, 4 Ga 2.67
S2 0.5000 0.5000 0.0000  2 Sc 2.62, 4 Ga 2.67